Record 1
A plane-wave DFT calculation with PBE was carried out for SrFePH after structural relaxation.

**VASP energy**: -5.462 eV/atom
**SG**: P4/nmm, No. 129

a = 3.852 Å, b = 3.852 Å, c = 8.611 Å
α = 90.00°, β = 90.00°, γ = 90.00°
Atoms (fractional coordinates):
Sr 0.250 0.250 0.168
Sr 0.750 0.750 0.832
Fe 0.250 0.750 0.500
Fe 0.750 0.250 0.500
P 0.250 0.250 0.628
P 0.750 0.750 0.372
H 0.250 0.750 0.000
H 0.750 0.250 0.000


Record 2
A plane-wave DFT calculation with PBE was carried out for TbFePH after structural relaxation.

**VASP energy**: -6.419 eV/atom
**SG**: P4/nmm, No. 129

a = 3.774 Å, b = 3.774 Å, c = 7.456 Å
α = 90.00°, β = 90.00°, γ = 90.00°
Atoms (fractional coordinates):
Tb 0.250 0.250 0.174
Tb 0.750 0.750 0.826
Fe 0.250 0.750 0.500
Fe 0.750 0.250 0.500
P 0.250 0.250 0.655
P 0.750 0.750 0.345
H 0.250 0.750 0.000
H 0.750 0.250 0.000


Record 3
A plane-wave DFT calculation with PBE was carried out for TiFe2PH after structural relaxation.

**SG**: Cmcm, No. 63
**Relative energy among the computed polymorphs**: 0.0 kJ per mole of atoms

a = 4.964 Å, b = 4.964 Å, c = 6.431 Å
α = 90.00°, β = 90.00°, γ = 138.94°
Atoms (fractional coordinates):
Ti 0.060 0.940 0.750
Ti 0.940 0.060 0.250
Fe 0.340 0.660 0.556
Fe 0.340 0.660 0.944
Fe 0.660 0.340 0.056
Fe 0.660 0.340 0.444
P 0.224 0.776 0.250
P 0.776 0.224 0.750
H 0.500 0.500 0.000
H 0.500 0.500 0.500


Record 4
A plane-wave DFT calculation with PBE was carried out for TiFe2PH after structural relaxation.

**SG**: P4/mmm, No. 123
**Relative energy among the computed polymorphs**: 13.4 kJ per mole of atoms

a = 3.604 Å, b = 3.604 Å, c = 3.991 Å
α = 90.00°, β = 90.00°, γ = 90.00°
Atoms (fractional coordinates):
Ti 0.000 0.000 0.000
Fe 0.000 0.500 0.500
Fe 0.500 0.000 0.500
P 0.500 0.500 0.000
H 0.000 0.000 0.500


We obtain volume values of 63.9 53.1 52.0 51.8 Å³/f.u. for the records listed above, in that order.